The following is a PBE calculation of an optimized crystal structure of K3Pu2O4, from the Alexandria database.

- V (Å³/atom) = 21.33
- formation energy (no corrections) (meV per atom) = -1949
- spin magnetization (μB per cell) = 20.30
- mass density (g cm⁻³) = 5.79

Unit cell a=12.726 b=3.801 c=9.692 alpha=90.00 beta=125.03 gamma=90.00
Space group C2/m (No. 12)
Symmetry-distinct sites (fractional):
K  0.000  0.000  0.000
K  0.207  0.000  0.817
Pu  0.106  0.500  0.388
O  0.067  0.500  0.850
O  0.192  0.000  0.354


The following is a PBE calculation of an optimized crystal structure of KPu2O4, from the Alexandria database.

- V (Å³/atom) = 19.68
- formation energy (no corrections) (meV per atom) = -2700
- spin magnetization (μB per cell) = 9.00
- mass density (g cm⁻³) = 7.13
- energy above the lowest structure with this stoichiometry (meV per atom) = 0

Unit cell a=6.054 b=3.548 c=6.885 alpha=90.00 beta=111.35 gamma=90.00
Space group P2/m (No. 10)
Symmetry-distinct sites (fractional):
K  0.000  0.000  0.000
Pu  0.000  0.500  0.500
Pu  0.500  0.000  0.500
O  0.228  0.000  0.660
O  0.259  0.500  0.328


The following is a PBE calculation of an optimized crystal structure of K5Pu2O12, from the Alexandria database.

- V (Å³/atom) = 18.66
- formation energy (no corrections) (meV per atom) = -1772
- spin magnetization (μB per cell) = 2.00
- mass density (g cm⁻³) = 4.10

Unit cell a=12.631 b=9.092 c=6.264 alpha=90.00 beta=99.60 gamma=90.00
Space group C2/m (No. 12)
Symmetry-distinct sites (fractional):
K  0.000  0.000  0.000
K  0.129  0.500  0.009
K  0.241  0.000  0.449
Pu  0.000  0.251  0.500
O  0.031  0.500  0.412
O  0.047  0.000  0.583
O  0.087  0.235  0.278
O  0.127  0.270  0.711


The following is a PBE calculation of an optimized crystal structure of K2Pu3O10, from the Alexandria database.

- V (Å³/atom) = 16.97
- formation energy (no corrections) (meV per atom) = -2413
- spin magnetization (μB per cell) = 24.00
- mass density (g cm⁻³) = 6.33

Unit cell a=19.536 b=6.727 c=8.426 alpha=90.00 beta=113.13 gamma=90.00
Space group C2/m (No. 12)
Symmetry-distinct sites (fractional):
K  0.107  0.000  0.224
K  0.199  0.000  0.825
Pu  0.000  0.248  0.500
Pu  0.081  0.500  0.976
Pu  0.184  0.500  0.514
O  0.000  0.309  0.000
O  0.021  0.000  0.666
O  0.024  0.500  0.679
O  0.104  0.252  0.522
O  0.136  0.500  0.270
O  0.144  0.289  0.978
O  0.231  0.500  0.750
O  0.250  0.250  0.500


The following is a PBE calculation of an optimized crystal structure of KPu2O6, from the Alexandria database.

- V (Å³/atom) = 18.48
- formation energy (no corrections) (meV per atom) = -2527
- spin magnetization (μB per cell) = 5.00
- mass density (g cm⁻³) = 6.22
- energy above the lowest structure with this stoichiometry (meV per atom) = 13

Unit cell a=5.8488 b=5.8488 c=5.6153 alpha=90.00 beta=90.00 gamma=120.00
Space group P-31m (No. 162)
Symmetry-distinct sites (fractional):
K  0.0000  0.0000  0.0000
Pu  0.3333  0.6667  0.5000
O  0.0000  0.3810  0.6879


The following is a PBE calculation of an optimized crystal structure of KPu2O8, from the Alexandria database.

- V (Å³/atom) = 20.43
- formation energy (no corrections) (meV per atom) = -2047
- spin magnetization (μB per cell) = 2.00
- mass density (g cm⁻³) = 4.84

Unit cell a=11.302 b=6.826 c=5.925 alpha=90.00 beta=100.59 gamma=90.00
Space group C2/m (No. 12)
Symmetry-distinct sites (fractional):
K  0.000  0.000  0.000
Pu  0.235  0.500  0.479
O  0.137  0.500  0.685
O  0.160  0.226  0.345
O  0.173  0.000  0.741


no.,calculated total energy (eV/atom)
1,-7.703
2,-9.785
3,-6.701
4,-8.731
5,-9.139
6,-8.358